## Dy6SnOs2 (GGA-PBE)

Data for crystalline Dy6SnOs2 at its relaxed geometry.

The space group is Immm (No. 71) and the conventional cell measures 9.4540, 9.5587 and 10.4253 Å, with angles of 90.00, 90.00 and 90.00 degrees. Symmetry generates all atoms from Dy at (0.0000, 0.2089, 0.2416), Dy at (0.1869, 0.5000, 0.1683), Dy at (0.2177, 0.3158, 0.5000), Sn at (0.0000, 0.0000, 0.0000), Sn at (0.0000, 0.0000, 0.5000), Os at (0.0000, 0.3297, 0.0000) and Os at (0.0000, 0.5000, 0.3785).

Its electronic total energy is -0.4695 Ry per atom. The value obtained for the formation energy from the elements is -3.42 eV/f.u.

=====

## Dy4SnOs (GGA-PBE)

Data for crystalline Dy4SnOs at its relaxed geometry.

The space group is C2/c (No. 15) and the conventional cell measures 8.8688, 13.4562 and 6.1189 Å, with angles of 90.00, 113.35 and 90.00 degrees. Symmetry generates all atoms from Dy at (0.1111, 0.1682, 0.0641), Dy at (0.2199, 0.4306, 0.3438), Sn at (0.0000, 0.3710, 0.7500) and Os at (0.0000, 0.9996, 0.2500).

Its electronic total energy is -0.4456 Ry per atom. The value obtained for the formation energy from the elements is -2.73 eV/f.u.

=====

## Dy8Sn2Os (GGA-PBE)

Data for crystalline Dy8Sn2Os at its relaxed geometry.

The space group is C2/m (No. 12) and the conventional cell measures 19.2631, 5.0222 and 6.6499 Å, with angles of 90.00, 106.49 and 90.00 degrees. Symmetry generates all atoms from Dy at (0.0199, 0.0000, 0.2894), Dy at (0.0885, 0.5000, 0.9515), Dy at (0.1452, 0.5000, 0.4944), Dy at (0.2178, 0.0000, 0.8176), Sn at (0.1805, 0.0000, 0.2502) and Os at (0.0000, 0.5000, 0.5000).

Its electronic total energy is -0.4008 Ry per atom. The value obtained for the formation energy from the elements is -3.93 eV/f.u.

=====

## DyTaOs2 (GGA-PBE)

Data for crystalline DyTaOs2 at its relaxed geometry.

The space group is P4/mmm (No. 123) and the conventional cell measures 3.2094, 3.2094 and 6.9789 Å, with angles of 90.00, 90.00 and 90.00 degrees. Symmetry generates all atoms from Dy at (0.0000, 0.0000, 0.0000), Ta at (0.0000, 0.0000, 0.5000) and Os at (0.5000, 0.5000, 0.2815).

Its electronic total energy is -0.7367 Ry per atom. The value obtained for the formation energy from the elements is -1.18 eV/f.u.

=====

## DyTaOs (GGA-PBE)

Data for crystalline DyTaOs at its relaxed geometry.

The space group is P4/nmm (No. 129, origin choice 2) and the conventional cell measures 4.4553, 4.4553 and 6.7019 Å, with angles of 90.00, 90.00 and 90.00 degrees. Symmetry generates all atoms from Dy at (0.2500, 0.2500, 0.1424), Ta at (0.2500, 0.7500, 0.5000) and Os at (0.2500, 0.2500, 0.7008).

Its electronic total energy is -0.6956 Ry per atom. The value obtained for the formation energy from the elements is -0.71 eV/f.u.

=====

## DyTaOs2 (GGA-PBE)

Data for crystalline DyTaOs2 at its relaxed geometry.

The space group is Fm-3m (No. 225) and the conventional cell measures 6.5603, 6.5603 and 6.5603 Å, with angles of 90.00, 90.00 and 90.00 degrees. Symmetry generates all atoms from Dy at (0.0000, 0.0000, 0.0000), Ta at (0.0000, 0.0000, 0.5000) and Os at (0.2500, 0.2500, 0.2500).

Its electronic total energy is -0.7300 Ry per atom. The value obtained for the formation energy from the elements is -0.81 eV/f.u.

=====

## DyTa4Os5 (GGA-PBE)

Data for crystalline DyTa4Os5 at its relaxed geometry.

The space group is P4/mmm (No. 123) and the conventional cell measures 3.1425, 3.1425 and 17.2859 Å, with angles of 90.00, 90.00 and 90.00 degrees. Symmetry generates all atoms from Dy at (0.0000, 0.0000, 0.0000), Ta at (0.0000, 0.0000, 0.2099), Ta at (0.0000, 0.0000, 0.4042), Os at (0.5000, 0.5000, 0.1268), Os at (0.5000, 0.5000, 0.3110) and Os at (0.5000, 0.5000, 0.5000).

Its electronic total energy is -0.8161 Ry per atom. The value obtained for the formation energy from the elements is -2.87 eV/f.u.

=====

## Tb3DyOs (GGA-PBE)

Data for crystalline Tb3DyOs at its relaxed geometry.

The space group is Pm-3m (No. 221) and the conventional cell measures 5.4440, 5.4440 and 5.4440 Å, with angles of 90.00, 90.00 and 90.00 degrees. Symmetry generates all atoms from Tb at (0.0000, 0.0000, 0.5000), Dy at (0.5000, 0.5000, 0.5000) and Os at (0.0000, 0.0000, 0.0000).

Its electronic total energy is -0.4330 Ry per atom. The value obtained for the formation energy from the elements is 0.26 eV/f.u. The energy above the most stable polymorph in this dataset comes out at 201 meV/atom.